The following is a DFT calculation (PBE with a Hubbard U) of crystalline CsNpV2O8 at its relaxed geometry.

Cell lengths 9.8932, 5.9092, 8.6814 Å; angles 90.00, 91.93, 90.00 degrees
Space group C2/m (No. 12)
Symmetry-distinct sites (fractional):
Cs1 0.0000 0.0000 0.0000 (multiplicity 2)
Np1 0.0000 0.0000 0.5000 (multiplicity 2)
V1 0.1477 0.5000 0.2914 (multiplicity 4)
O1 0.0544 0.2524 0.3365 (multiplicity 8)
O2 0.1762 0.5000 0.1053 (multiplicity 4)
O3 0.1961 0.0000 0.6001 (multiplicity 4)

Properties
The uncorrected energy is -7.95 eV per atom.